No. 1
ZrCuPH, optimized geometry, DFT PBE; V = 12.4 A^3/atom; space group = P4/nmm; density of states at the Fermi level = 0.31 states/eV/atom; electronic total energy = -47.732 eV per cell; total magnetization = 0.00 μB per atom
1.0
3.516 0.000 0.000
0.000 3.516 0.000
0.000 0.000 8.023
H Cu P Zr
2 2 2 2
Cartesian
1.758 1.758 4.012 H
0.000 0.000 4.012 H
1.758 1.758 0.000 Cu
0.000 0.000 0.000 Cu
0.000 1.758 6.344 P
1.758 0.000 1.679 P
1.758 0.000 5.351 Zr
0.000 1.758 2.673 Zr

No. 2
PaCuH4, optimized geometry, DFT PBE; V = 8.9 A^3/atom; space group = P2_1/m; density of states at the Fermi level = 0.69 states/eV/atom; electronic total energy = -55.635 eV per cell; total magnetization = 0.00 μB per atom
1.0
4.060 0.000 -0.356
0.000 4.425 0.000
0.074 0.000 5.970
H Pa Cu
8 2 2
Cartesian
3.820 1.106 5.057 H
0.314 3.319 0.557 H
2.030 0.000 -0.178 H
2.030 2.212 -0.178 H
3.069 0.145 2.163 H
1.065 2.358 3.452 H
1.065 4.280 3.452 H
3.069 2.067 2.163 H
3.116 3.319 4.105 Pa
1.018 1.106 1.510 Pa
2.969 3.319 1.026 Cu
1.165 1.106 4.588 Cu

No. 3
PaCuH, optimized geometry, DFT PBE; V = 16.0 A^3/atom; space group = P-6m2; density of states at the Fermi level = 1.06 states/eV/atom; electronic total energy = -16.508 eV per cell; total magnetization = 0.00 μB per atom
1.0
3.796 0.000 0.000
0.000 3.815 0.000
0.000 -1.908 3.304
Cu H Pa
1 1 1
Cartesian
3.796 0.000 0.000 Cu
1.898 0.000 2.203 H
1.898 1.908 1.101 Pa

No. 4
PaCuH2, optimized geometry, DFT PBE; V = 12.8 A^3/atom; space group = R-3m; density of states at the Fermi level = 0.85 states/eV/atom; electronic total energy = -20.239 eV per cell; total magnetization = 0.00 μB per atom
1.0
-0.087 0.997 -3.086
-2.667 -0.478 -1.784
-2.924 5.148 0.041
H Pa Cu
2 1 1
Cartesian
-2.349 3.721 -0.436 H
-3.329 1.945 -4.393 H
-2.839 2.833 -2.414 Pa
0.000 0.000 0.000 Cu

No. 5
PaCuH, optimized geometry, DFT PBE; V = 15.0 A^3/atom; space group = Pmmn; density of states at the Fermi level = 1.14 states/eV/atom; electronic total energy = -33.539 eV per cell; total magnetization = 0.00 μB per atom
1.0
3.211 0.000 0.000
0.000 3.540 0.000
0.000 0.000 7.915
Pa Cu H
2 2 2
Cartesian
1.605 0.000 5.404 Pa
0.000 1.770 2.511 Pa
1.605 1.770 7.832 Cu
0.000 0.000 0.084 Cu
1.605 1.770 4.044 H
0.000 0.000 3.871 H

No. 6
PaCu2H6, optimized geometry, DFT PBE; V = 8.9 A^3/atom; space group = C2/m; density of states at the Fermi level = 0.37 states/eV/atom; electronic total energy = -38.341 eV per cell; total magnetization = 0.05 μB per atom
1.0
-3.319 -1.829 0.244
3.488 -2.938 -4.132
0.935 -1.230 3.489
H Cu Pa
6 2 1
Cartesian
0.447 -0.868 -0.425 H
-0.791 -2.336 1.267 H
1.896 -3.661 -1.666 H
0.657 -5.130 0.025 H
1.446 -2.515 0.820 H
-0.342 -3.483 -1.219 H
-0.039 -3.770 0.757 Cu
1.143 -2.228 -1.156 Cu
0.467 -0.615 1.744 Pa

No. 7
PaCuH, optimized geometry, DFT PBE; V = 16.4 A^3/atom; space group = I4mm; density of states at the Fermi level = 1.38 states/eV/atom; electronic total energy = -15.752 eV per cell; total magnetization = 0.00 μB per atom
1.0
3.816 0.000 0.000
0.000 3.816 0.000
-1.908 -1.908 3.379
Pa H Cu
1 1 1
Cartesian
1.908 1.908 0.890 Pa
1.908 1.908 3.283 H
0.000 0.000 1.573 Cu

No. 8
Pa3Cu5H12, optimized geometry, DFT PBE; V = 9.9 A^3/atom; space group = Ia-3d; density of states at the Fermi level = 0.81 states/eV/atom; electronic total energy = -358.623 eV per cell; total magnetization = 0.00 μB per atom
1.0
-4.795 -3.053 -8.357
9.978 -0.955 -1.301
-2.935 -5.676 7.832
H Pa Cu
48 12 20
Cartesian
-2.628 -3.061 -0.937 H
3.258 -1.294 -0.792 H
5.177 -4.061 -0.457 H
-2.929 -5.622 -1.370 H
4.257 -2.639 -4.120 H
1.940 -3.760 -5.248 H
8.293 -1.836 -1.042 H
4.523 -7.268 4.048 H
2.120 -4.743 -2.551 H
4.875 -6.622 -0.890 H
3.042 -7.206 1.895 H
1.961 -2.051 -3.017 H
-0.175 -5.033 -4.259 H
-5.246 -6.388 -2.892 H
-0.023 -3.160 2.694 H
0.792 -1.623 0.650 H
1.456 -8.060 -2.477 H
-1.736 -5.000 -6.356 H
2.236 -6.348 -0.490 H
-2.528 -4.745 1.061 H
2.423 -4.650 2.432 H
-6.045 -7.847 -0.785 H
-2.010 -7.044 2.293 H
-0.795 -2.478 -3.722 H
5.580 -6.590 1.755 H
-2.072 -4.659 3.899 H
5.044 -3.500 -7.813 H
4.776 -4.938 -2.888 H
7.494 -3.295 1.065 H
-1.010 -8.389 -1.035 H
0.127 -4.941 0.724 H
-3.332 -3.093 -3.582 H
0.719 -4.583 -7.492 H
-2.276 -2.415 -5.875 H
0.307 -5.923 3.421 H
2.526 -3.771 -0.158 H
4.949 -4.018 2.192 H
-2.796 -6.183 5.986 H
-3.311 -7.896 0.105 H
1.529 -5.100 5.665 H
3.984 -4.683 4.529 H
-0.278 -5.913 -1.669 H
-2.701 -5.665 -4.019 H
2.271 -6.523 -4.521 H
5.558 -1.788 -1.932 H
0.012 -3.336 -1.337 H
0.287 -7.633 1.190 H
4.320 -5.024 -5.726 H
-1.603 -4.275 -2.612 Pa
3.704 -3.161 -1.989 Pa
-0.673 -5.586 5.483 Pa
5.930 -5.474 3.690 Pa
-3.682 -4.209 -5.517 Pa
3.851 -5.408 0.785 Pa
2.469 -6.326 3.950 Pa
3.300 -6.672 -2.512 Pa
2.921 -4.097 -7.310 Pa
-1.052 -3.011 0.685 Pa
-0.221 -3.357 -5.777 Pa
-1.456 -6.523 0.162 Pa
0.709 -4.669 2.317 Cu
7.165 -2.308 -2.249 Cu
-3.865 -4.364 -0.263 Cu
-2.397 -1.526 -4.179 Cu
4.989 -0.477 -0.651 Cu
1.124 -4.842 -0.914 Cu
0.000 0.000 0.000 Cu
2.409 -2.159 0.425 Cu
5.783 -3.226 0.916 Cu
-1.467 -2.838 3.916 Cu
2.591 -2.004 -4.829 Cu
-0.161 -7.525 -2.252 Cu
1.539 -5.015 -4.144 Cu
-4.917 -7.375 0.422 Cu
3.521 -3.315 3.265 Cu
-2.752 -5.521 2.577 Cu
1.918 -7.590 0.653 Cu
0.329 -2.093 -2.480 Cu
5.000 -4.163 -4.404 Cu
-3.535 -6.457 -2.743 Cu

No. 9
PaCu2H8, optimized geometry, DFT PBE; V = 7.4 A^3/atom; space group = C2/m; density of states at the Fermi level = 0.35 states/eV/atom; electronic total energy = -43.901 eV per cell; total magnetization = 0.05 μB per atom
1.0
-3.152 1.298 -2.131
-0.169 -3.362 1.993
-0.878 4.812 4.231
H Pa Cu
8 1 2
Cartesian
-2.783 4.323 2.959 H
-1.196 0.509 4.015 H
-2.805 1.172 2.928 H
-2.643 0.006 0.121 H
-1.393 1.577 1.165 H
-3.002 2.239 0.078 H
-1.415 -1.574 1.134 H
-1.555 2.742 3.972 H
0.000 0.000 0.000 Pa
-1.209 1.686 2.816 Cu
-2.989 1.062 1.277 Cu

No. 10
PaCu2H8Pd, optimized geometry, DFT PBE; V = 10.2 A^3/atom; space group = P-3m1; density of states at the Fermi level = 0.49 states/eV/atom; electronic total energy = -49.220 eV per cell; total magnetization = 0.04 μB per atom
1.0
4.644 0.000 0.000
-2.322 4.022 0.000
0.000 0.000 6.562
Cu H Pd Pa
2 8 1 1
Cartesian
0.000 2.681 4.635 Cu
2.322 1.341 1.928 Cu
3.626 0.588 1.312 H
1.018 0.588 1.312 H
0.000 1.176 5.250 H
0.000 2.681 3.002 H
1.304 3.434 5.250 H
2.322 2.846 1.312 H
-1.304 3.434 5.250 H
2.322 1.341 3.560 H
0.000 0.000 0.000 Pd
0.000 0.000 3.281 Pa

No. 11
PaCuH6Pt, optimized geometry, DFT PBE; V = 8.3 A^3/atom; space group = P-6m2; density of states at the Fermi level = 0.36 states/eV/atom; electronic total energy = -40.897 eV per cell; total magnetization = 0.00 μB per atom
1.0
-3.483 -0.412 2.761
-3.989 -1.203 -1.602
1.002 -4.176 0.641
H Pa Cu Pt
6 1 1 1
Cartesian
-4.664 -4.360 2.448 H
-3.563 -1.643 0.711 H
-4.912 -4.748 0.313 H
-2.960 -4.159 1.097 H
-5.268 -1.844 2.062 H
-5.515 -2.231 -0.073 H
-2.481 -4.587 3.402 Pa
-4.480 -3.164 1.093 Cu
-1.990 -2.626 0.707 Pt

No. 12
PaCuH6Rh, optimized geometry, DFT PBE; V = 8.2 A^3/atom; space group = P-6m2; density of states at the Fermi level = 0.56 states/eV/atom; electronic total energy = -42.768 eV per cell; total magnetization = 0.00 μB per atom
1.0
4.468 0.000 0.000
2.234 3.869 0.000
0.000 0.000 4.266
H Cu Rh Pa
6 1 1 1
Cartesian
5.582 1.936 0.906 H
3.354 1.936 0.906 H
3.353 1.936 3.361 H
5.582 1.936 3.360 H
4.468 3.866 3.361 H
4.467 3.866 0.906 H
4.468 2.579 2.133 Cu
2.234 1.290 2.133 Rh
4.468 0.000 4.266 Pa

No. 13
PaCuH8Rh2, optimized geometry, DFT PBE; V = 8.0 A^3/atom; space group = C2/m; density of states at the Fermi level = 0.46 states/eV/atom; electronic total energy = -56.273 eV per cell; total magnetization = 0.09 μB per atom
1.0
-2.662 -3.371 1.035
1.639 -3.487 2.290
-1.810 0.320 5.818
H Rh Pa Cu
8 2 1 1
Cartesian
-2.044 -1.910 2.586 H
-0.790 -4.628 6.557 H
-0.736 -0.254 2.078 H
-2.098 -6.284 7.065 H
-1.544 -3.871 2.282 H
-1.289 -2.667 6.861 H
0.265 -2.098 3.280 H
-3.099 -4.440 5.863 H
-2.286 -4.630 7.337 Rh
-0.548 -1.909 1.806 Rh
-1.417 -3.269 4.572 Pa
0.000 0.000 0.000 Cu

No. 14
Cu3HPb, optimized geometry, DFT PBE; V = 25.9 A^3/atom; space group = Pm-3m; density of states at the Fermi level = 0.47 states/eV/atom; electronic total energy = -12.809 eV per cell; total magnetization = 0.20 μB per atom
1.0
5.056 0.000 0.000
0.000 5.056 0.000
0.000 0.000 5.056
H Cu Pb
1 3 1
Cartesian
2.528 2.528 2.528 H
0.000 0.000 2.528 Cu
0.000 2.528 0.000 Cu
2.528 0.000 0.000 Cu
0.000 0.000 0.000 Pb

No. 15
CuH2Pb, optimized geometry, DFT PBE; V = 13.4 A^3/atom; space group = I-42d; density of states at the Fermi level = 0.19 states/eV/atom; electronic total energy = -26.784 eV per cell; total magnetization = 0.00 μB per atom
1.0
4.763 0.000 0.000
0.000 4.763 0.000
2.382 2.382 4.717
H Cu Pb
4 2 2
Cartesian
3.572 4.757 3.538 H
5.954 4.770 3.538 H
2.388 1.191 1.179 H
2.375 3.572 1.179 H
2.382 4.763 2.358 Cu
2.382 2.382 0.000 Cu
4.763 2.382 2.358 Pb
0.000 0.000 0.000 Pb

No. 16
Cu2HPb, optimized geometry, DFT PBE; V = 15.3 A^3/atom; space group = Fm-3m; density of states at the Fermi level = 0.47 states/eV/atom; electronic total energy = -12.171 eV per cell; total magnetization = 0.00 μB per atom
1.0
0.000 3.126 3.126
3.126 0.000 3.126
3.126 3.126 0.000
Cu H Pb
2 1 1
Cartesian
1.563 1.563 1.563 Cu
4.689 4.689 4.689 Cu
0.000 0.000 0.000 H
3.126 3.126 3.126 Pb

No. 17
CuH2Pb, optimized geometry, DFT PBE; V = 12.8 A^3/atom; space group = Fm-3m; density of states at the Fermi level = 0.21 states/eV/atom; electronic total energy = -11.588 eV per cell; total magnetization = 0.00 μB per atom
1.0
0.857 -3.138 2.614
-2.618 -3.235 0.307
1.106 -3.730 -1.510
Cu Pb H
1 1 2
Cartesian
0.000 0.000 0.000 Cu
-0.328 -5.051 0.705 Pb
-0.164 -2.526 0.353 H
-0.491 -7.577 1.058 H

No. 18
Cu2HPb, optimized geometry, DFT PBE; V = 14.7 A^3/atom; space group = I4_1/amd; density of states at the Fermi level = 0.27 states/eV/atom; electronic total energy = -28.789 eV per cell; total magnetization = 0.00 μB per atom
1.0
5.579 0.000 0.000
0.000 5.579 0.000
2.790 2.790 3.784
Cu Pb H
4 2 2
Cartesian
2.790 1.395 0.946 Cu
6.974 5.580 2.838 Cu
2.789 4.184 0.946 Cu
4.184 5.579 2.838 Cu
5.579 2.790 1.892 Pb
0.000 0.000 0.000 Pb
2.790 2.790 0.000 H
2.790 5.579 1.892 H

No. 19
Cu2H2Pb, optimized geometry, DFT PBE; V = 13.1 A^3/atom; space group = I4/mmm; density of states at the Fermi level = 0.22 states/eV/atom; electronic total energy = -17.309 eV per cell; total magnetization = 0.00 μB per atom
1.0
-0.146 -1.830 -2.781
0.812 -2.719 1.746
-5.379 -3.339 0.483
Cu H Pb
2 2 1
Cartesian
-2.761 -5.187 -0.434 Cu
-1.952 -2.700 -0.117 Cu
-2.117 -4.166 0.856 H
-2.596 -3.721 -1.407 H
0.000 0.000 0.000 Pb

No. 20
CuHPb, optimized geometry, DFT PBE; V = 17.5 A^3/atom; space group = P-1; density of states at the Fermi level = 0.12 states/eV/atom; electronic total energy = -21.288 eV per cell; total magnetization = 0.00 μB per atom
1.0
-3.838 -1.551 0.898
0.272 -3.608 2.203
-1.349 1.385 6.490
H Pb Cu
2 2 2
Cartesian
-1.794 -1.960 2.558 H
-3.121 -1.814 7.033 H
-1.325 0.510 5.039 Pb
-3.589 -4.284 4.552 Pb
-2.413 -3.484 2.109 Cu
-2.502 -0.290 7.482 Cu

No. 21
CuH2Pb2, optimized geometry, DFT PBE; V = 16.9 A^3/atom; space group = I4/mmm; density of states at the Fermi level = 0.31 states/eV/atom; electronic total energy = -15.845 eV per cell; total magnetization = 0.00 μB per atom
1.0
-2.660 -0.134 2.384
1.652 -2.680 1.693
2.683 2.958 5.840
Cu H Pb
1 2 2
Cartesian
0.000 0.000 0.000 Cu
1.915 -0.565 4.785 H
-0.241 0.709 5.131 H
1.328 0.386 6.863 Pb
0.347 -0.242 3.053 Pb

No. 22
Cu2H2Pb, optimized geometry, DFT PBE; V = 14.7 A^3/atom; space group = P4/mbm; density of states at the Fermi level = 0.27 states/eV/atom; electronic total energy = -31.346 eV per cell; total magnetization = 0.00 μB per atom
1.0
-5.582 1.015 -3.787
-0.127 -6.633 -1.589
-1.812 -0.569 2.519
H Cu Pb
4 4 2
Cartesian
-4.063 -6.076 -2.319 H
-6.303 -2.341 -3.088 H
-3.459 -0.111 -0.538 H
-1.219 -3.846 0.230 H
-3.592 -0.281 -2.648 Cu
-0.829 -2.243 -1.103 Cu
-4.880 -3.375 -4.273 Cu
-2.117 -5.337 -2.728 Cu
0.000 0.000 0.000 Pb
-2.855 -2.809 -2.688 Pb